Density functional theory data (PBE with a Hubbard U) for a relaxed CrB3F crystal.

Cell lengths 3.675, 3.675, 3.675 Å; angles 90.00, 90.00, 90.00 degrees
Element x y z (fractional)
Cr 0.500 0.500 0.500
B 0.000 0.000 0.500
B 0.000 0.500 0.000
B 0.500 0.000 0.000
F 0.000 0.000 0.000

## Properties
- Crystal system: cubic
- Total magnetic moment: 2.46 μB/cell
- Raw total energy: -20.69 eV per formula unit
- Volume: 9.93 A^3/atom
- Space group: No. 221